! LiYZn (PBE, optimized geometry); values from VASP
! **DFT total energy**: -3.327 eV per atom
! **Theoretical density**: 4.21 Mg/m³
! **Offset from the most stable computed form**: 14 meV/atom
&SYSTEM
  ibrav = 0, nat = 3, ntyp = 3
/
ATOMIC_SPECIES
Li 6.94 Li.upf
Y 88.91 Y.upf
Zn 65.41 Zn.upf
CELL_PARAMETERS angstrom
-4.4950 -2.9110 -0.5425
-0.3573 -4.1846 -3.3953
3.2373 1.9617 3.8521
ATOMIC_POSITIONS crystal
Li 0.0193 0.0179 0.0014
Y 0.3265 0.3262 0.0002
Zn 0.6542 0.6558 0.9984